[1]
Below is a relaxed PmErCoCu crystal, with properties calculated at the PBE level.

Unit cell a=3.8285 b=4.2977 c=5.4497 alpha=90.00 beta=110.56 gamma=90.00
Atoms (fractional coordinates):
Pm1 0.1444 0.0000 0.2888
Er1 0.8629 0.5000 0.7257
Co1 0.4272 0.0000 0.8543
Cu1 0.5656 0.5000 0.1311

Calculated values
E_tot in eV per atom: -5.31
Energy above the most stable polymorph in this dataset in meV per atom: 0
SG: Amm2 (38)
Calculated volume in Å³/cell: 84.0
Energy of formation in kcal/mol of atoms: -4.1



[2]
Below is a relaxed PmErCoCu crystal, with properties calculated at the PBE level.

Unit cell a=4.8566 b=4.8566 c=4.8566 alpha=60.00 beta=60.00 gamma=60.00
Atoms (fractional coordinates):
Pm1 0.5000 0.5000 0.5000
Co1 0.7500 0.7500 0.7500
Cu1 0.2500 0.2500 0.2500
Er1 0.0000 0.0000 0.0000

Calculated values
E_tot in eV per atom: -5.27
Energy above the most stable polymorph in this dataset in meV per atom: 34
SG: F-43m (216)
Calculated volume in Å³/cell: 81.0
Energy of formation in kcal/mol of atoms: -3.3



[3]
Below is a relaxed PrErCoCu crystal, with properties calculated at the PBE level.

Unit cell a=4.8985 b=4.8985 c=4.8985 alpha=60.00 beta=60.00 gamma=60.00
Atoms (fractional coordinates):
Pr1 0.0000 0.0000 0.0000
Co1 0.7500 0.7500 0.7500
Cu1 0.2500 0.2500 0.2500
Er1 0.5000 0.5000 0.5000

Calculated values
E_tot in eV per atom: -5.24
SG: F-43m (216)
Calculated volume in Å³/cell: 83.1
Energy of formation in kcal/mol of atoms: -2.4



[4]
Below is a relaxed ErPuCoCu crystal, with properties calculated at the PBE level.

Unit cell a=4.7847 b=4.7847 c=4.7847 alpha=60.00 beta=60.00 gamma=60.00
Atoms (fractional coordinates):
Er1 0.0000 0.0000 0.0000
Co1 0.7500 0.7500 0.7500
Cu1 0.2500 0.2500 0.2500
Pu1 0.5000 0.5000 0.5000

Calculated values
E_tot in eV per atom: -7.55
SG: F-43m (216)
Calculated volume in Å³/cell: 77.5
Energy of formation in kcal/mol of atoms: -0.7



[5]
Below is a relaxed ErCoCuSi2 crystal, with properties calculated at the PBE level.

Unit cell a=3.9501 b=3.9501 c=5.5837 alpha=110.71 beta=110.71 gamma=90.00
Atoms (fractional coordinates):
Er1 0.0000 0.0000 0.0000
Co1 0.7500 0.2500 0.5000
Cu1 0.2500 0.7500 0.5000
Si1 0.6233 0.6233 0.2466
Si2 0.3767 0.3767 0.7534

Calculated values
E_tot in eV per atom: -5.97
SG: I-4m2 (119)
Formation energy from raw total energies in eV per atom: -0.648
Calculated volume in Å³/cell: 75.4



[6]
Below is a relaxed SmErCoCu crystal, with properties calculated at the PBE level.

Unit cell a=3.8212 b=4.2762 c=5.4452 alpha=90.00 beta=110.54 gamma=90.00
Atoms (fractional coordinates):
Sm1 0.1440 0.0000 0.2881
Er1 0.8625 0.5000 0.7251
Co1 0.4273 0.0000 0.8546
Cu1 0.5661 0.5000 0.1322

Calculated values
E_tot in eV per atom: -5.31
Energy above the most stable polymorph in this dataset in meV per atom: 0
SG: Amm2 (38)
Calculated volume in Å³/cell: 83.3
Energy of formation in kcal/mol of atoms: -4.3